[1]
Entry from Alexandria: crystalline SmYAg at its relaxed geometry (PBE).

abc: 5.0917 5.0917 3.7218
angles: 90.00 90.00 120.00
Space group P3m1 (No. 156)
Symmetry-distinct sites (fractional):
Sm  0.0000  0.0000  0.0000 x1
Y  0.3333  0.6667  0.4533 x1
Ag  0.6667  0.3333  0.6981 x1

Energy relative to the lowest polymorph listed for this composition, meV per atom: 165.8
Calculated formation energy, eV/atom: -0.023
Crystal system: trigonal
D(E_F), states/eV per atom: 1.00

[2]
Entry from Alexandria: crystalline Sr2Cd4SnGe3 at its relaxed geometry (PBE).

abc: 4.658 4.658 11.869
angles: 90.00 90.00 90.00
Space group P-4m2 (No. 115)
Symmetry-distinct sites (fractional):
Sr  0.000  0.500  0.243 x2
Cd  0.000  0.000  0.000 x1
Cd  0.000  0.500  0.643 x2
Cd  0.500  0.500  0.000 x1
Sn  0.000  0.000  0.500 x1
Ge  0.000  0.500  0.865 x2
Ge  0.500  0.500  0.500 x1

Calculated formation energy, eV/atom: -0.293
Crystal system: tetragonal
D(E_F), states/eV per atom: 0.25

[3]
Entry from Alexandria: crystalline Cs3AgB at its relaxed geometry (PBE).

abc: 6.433 6.433 6.433
angles: 90.00 90.00 90.00
Space group Pm-3m (No. 221)
Symmetry-distinct sites (fractional):
Cs  0.000  0.000  0.500 x3
Ag  0.500  0.500  0.500 x1
B  0.000  0.000  0.000 x1

Energy relative to the lowest polymorph listed for this composition, meV per atom: 0.0
Calculated formation energy, eV/atom: 0.802
Crystal system: cubic
D(E_F), states/eV per atom: 0.66

[4]
Entry from Alexandria: crystalline ZnPbW2 at its relaxed geometry (PBE).

abc: 3.920 3.920 20.119
angles: 90.00 90.00 90.00
Space group I-42d (No. 122)
Symmetry-distinct sites (fractional):
Zn  0.000  0.000  0.000 x4
Pb  0.000  0.000  0.500 x4
W  0.214  0.250  0.125 x8

Energy relative to the lowest polymorph listed for this composition, meV per atom: 445.7
Calculated formation energy, eV/atom: 0.954
Crystal system: tetragonal
D(E_F), states/eV per atom: 0.79

[5]
Entry from Alexandria: crystalline AgSbIr at its relaxed geometry (PBE).

abc: 3.195 3.716 9.468
angles: 90.00 90.00 90.00
Space group Imm2 (No. 44)
Symmetry-distinct sites (fractional):
Ag  0.000  0.000  0.000 x2
Sb  0.000  0.000  0.694 x2
Ir  0.000  0.000  0.320 x2

Energy relative to the lowest polymorph listed for this composition, meV per atom: 83.6
Crystal system: orthorhombic
D(E_F), states/eV per atom: 0.45
Raw formation energy, eV per atom: 0.180

[6]
Entry from Alexandria: crystalline YTaO2F at its relaxed geometry (PBE).

abc: 4.059 4.059 4.262
angles: 90.00 90.00 90.00
Space group P4/mmm (No. 123)
Symmetry-distinct sites (fractional):
Y  0.000  0.000  0.000 x1
Ta  0.500  0.500  0.500 x1
O  0.000  0.500  0.500 x2
F  0.500  0.500  0.000 x1

Crystal system: tetragonal
D(E_F), states/eV per atom: 0.70
Raw formation energy, eV per atom: -2.026

[7]
Entry from Alexandria: crystalline La3Pm6DyTm2 at its relaxed geometry (PBE).

abc: 6.307 10.934 12.052
angles: 90.00 100.08 90.00
Space group C2/m (No. 12)
Symmetry-distinct sites (fractional):
La  0.000  0.000  0.000 x2
La  0.000  0.333  0.000 x4
Pm  0.247  0.000  0.743 x4
Pm  0.248  0.333  0.743 x8
Dy  0.000  0.500  0.500 x2
Tm  0.000  0.167  0.500 x4

Calculated formation energy, eV/atom: 0.023
Crystal system: monoclinic
D(E_F), states/eV per atom: 1.56

[8]
Entry from Alexandria: crystalline Sr3Cd2Ge4 at its relaxed geometry (PBE).

abc: 12.000 4.543 8.990
angles: 90.00 104.72 90.00
Space group C2/m (No. 12)
Symmetry-distinct sites (fractional):
Sr  0.000  0.000  0.000 x2
Sr  0.118  0.500  0.701 x4
Cd  0.190  0.500  0.359 x4
Ge  0.072  0.000  0.407 x4
Ge  0.211  0.500  0.054 x4

Calculated formation energy, eV/atom: -0.456
Crystal system: monoclinic
D(E_F), states/eV per atom: 0.22

[9]
Entry from Alexandria: crystalline Y2AlAs at its relaxed geometry (PBE).

abc: 4.000 4.292 10.881
angles: 90.00 90.00 90.00
Space group Amm2 (No. 38)
Symmetry-distinct sites (fractional):
Y  0.000  0.000  0.000 x2
Y  0.500  0.000  0.282 x2
Al  0.500  0.000  0.558 x2
As  0.000  0.000  0.722 x2

Energy relative to the lowest polymorph listed for this composition, meV per atom: 0.0
Calculated formation energy, eV/atom: -0.881
Crystal system: orthorhombic
D(E_F), states/eV per atom: 0.89

[10]
Entry from Alexandria: crystalline KZrSb2 at its relaxed geometry (PBE).

abc: 3.189 3.988 8.886
angles: 90.00 90.09 90.00
Space group P2/m (No. 10)
Symmetry-distinct sites (fractional):
K  0.000  0.000  0.000 x1
Zr  0.000  0.000  0.500 x1
Sb  0.500  0.500  0.296 x2

Energy relative to the lowest polymorph listed for this composition, meV per atom: 0.0
Crystal system: monoclinic
D(E_F), states/eV per atom: 0.44
Raw formation energy, eV per atom: -0.497

[11]
Entry from Alexandria: crystalline Dy5Ho2Th3 at its relaxed geometry (PBE).

abc: 11.190 5.030 11.259
angles: 90.00 90.54 90.00
Space group C2/m (No. 12)
Symmetry-distinct sites (fractional):
Dy  0.000  0.000  0.000 x2
Dy  0.200  0.000  0.600 x4
Dy  0.200  0.500  0.101 x4
Ho  0.098  0.500  0.798 x4
Th  0.000  0.500  0.500 x2
Th  0.099  0.000  0.299 x4

Calculated formation energy, eV/atom: 0.034
Crystal system: monoclinic
D(E_F), states/eV per atom: 1.38

[12]
Entry from Alexandria: crystalline Ca2ZnRe at its relaxed geometry (PBE).

abc: 6.952 6.952 6.952
angles: 90.00 90.00 90.00
Space group F-43m (No. 216)
Symmetry-distinct sites (fractional):
Ca  0.000  0.000  0.000 x4
Ca  0.250  0.250  0.250 x4
Zn  0.000  0.000  0.500 x4
Re  0.250  0.250  0.750 x4

Calculated formation energy, eV/atom: 0.641
Crystal system: cubic
D(E_F), states/eV per atom: 1.28